# 1
A relaxed structure of Ac8IrRu3. Source: Alexandria via LeMat-Bulk, functional PBE.

Theoretical density   8.9 g/cm³
Crystal system   monoclinic
ΔE_f   -28 kJ/mol of atoms
N(E_F)   13.034 states/eV per cell

```
data_Ac8IrRu3
_chemical_formula_sum 'Ac16 Ir2 Ru6'
_cell_length_a 14.007
_cell_length_b 8.746
_cell_length_c 8.268
_cell_angle_alpha 90.00
_cell_angle_beta 121.34
_cell_angle_gamma 90.00
_symmetry_space_group_name_H-M 'C 1 2/m 1'
_symmetry_Int_Tables_number 12
loop_
_symmetry_equiv_pos_as_xyz
'x,y,z'
'-x,-y,-z'
'-x,y,-z'
'x,-y,z'
'x+1/2,y+1/2,z'
'-x+1/2,-y+1/2,-z'
'-x+1/2,y+1/2,-z'
'x+1/2,-y+1/2,z'
loop_
_atom_site_label
_atom_site_fract_x
_atom_site_fract_y
_atom_site_fract_z
Ac1 0.005 0.247 0.246
Ac2 0.246 0.000 0.255
Ac3 0.247 0.500 0.259
Ir1 0.000 0.500 0.000
Ru1 0.000 0.000 0.000
Ru2 0.250 0.250 0.500
```

=====

# 2
A relaxed structure of Sr2CaW. Source: Alexandria via LeMat-Bulk, functional PBE.

Theoretical density   5.2 g/cm³
Crystal system   orthorhombic
ΔE_f   110 kJ/mol of atoms
N(E_F)   10.803 states/eV per cell

```
data_Sr2CaW
_chemical_formula_sum 'Sr4 Ca2 W2'
_cell_length_a 7.026
_cell_length_b 10.581
_cell_length_c 3.412
_cell_angle_alpha 90.00
_cell_angle_beta 90.00
_cell_angle_gamma 90.00
_symmetry_space_group_name_H-M 'C m m m'
_symmetry_Int_Tables_number 65
_symmetry_space_group_name_Hall '-C 2 2'
loop_
_atom_site_label
_atom_site_fract_x
_atom_site_fract_y
_atom_site_fract_z
Sr1 0.250 0.250 0.000
Ca1 0.000 0.000 0.500
W1 0.000 0.500 0.500
```